# 1
Entry from Alexandria via LeMat-Bulk: Tm4Sb2TePb after structural relaxation (PBE-GGA).

- final energy (eV for the cell shown) = -40.683
- density (g/cm³) = 8.9
- formation energy without anion corrections (eV/atom) = -0.963

a b c (Å): 4.323 7.552 7.553
angles (deg): 70.84 90.00 90.00
Fractional positions:
Tm  0.000  0.754  0.751
Tm  0.000  0.246  0.249
Tm  0.500  0.757  0.242
Tm  0.500  0.243  0.758
Sb  0.000  0.000  0.000
Sb  0.500  0.000  0.500
Te  0.000  0.500  0.500
Pb  0.500  0.500  0.000

# 2
Entry from Alexandria via LeMat-Bulk: VSb2TePb after structural relaxation (PBE-GGA).

- final energy (eV for the cell shown) = -22.983
- density (g/cm³) = 7.2
- formation energy without anion corrections (eV/atom) = 0.246

a b c (Å): 5.191 5.191 5.399
angles (deg): 90.00 90.00 90.00
Last column: magnetic moment on the atom in μB.
Fractional positions:
Pb  0.500  0.500  0.500  0.09
Sb  0.000  0.500  0.000  -0.09
Sb  0.500  0.000  0.000  -0.09
Te  0.000  0.000  0.500  -0.05
V  0.000  0.000  0.000  1.31